Record 1
# PBE-GGA Ta2RhAu, relaxed
data_Ta2RhAu
_chemical_formula_sum 'Ta2 Rh1 Au1'
_symmetry_space_group_name_H-M 'P 1'
_symmetry_Int_Tables_number 1
_cell_length_a 5.093
_cell_length_b 5.093
_cell_length_c 5.093
_cell_angle_alpha 133.79
_cell_angle_beta 133.79
_cell_angle_gamma 67.42
loop_
_symmetry_equiv_pos_as_xyz
'x,y,z'
loop_
_atom_site_label
_atom_site_type_symbol
_atom_site_fract_x
_atom_site_fract_y
_atom_site_fract_z
Au1 Au 0.500 0.500 0.000
Ta1 Ta 0.250 0.750 0.500
Ta2 Ta 0.000 0.000 0.000
Rh1 Rh 0.750 0.250 0.500
# - E_tot (eV/atom) = -8.673
# - calculated volume (Å³/f.u.) = 67.7
# - space-group type = I-4m2, No. 119
# - M_tot (μB/cell) = 0.00

***

Record 2
# PBE-GGA Fe3Ge2, relaxed
data_Fe3Ge2
_chemical_formula_sum 'Fe3 Ge2'
_symmetry_space_group_name_H-M 'P 1'
_symmetry_Int_Tables_number 1
_cell_length_a 3.876
_cell_length_b 3.876
_cell_length_c 5.665
_cell_angle_alpha 70.00
_cell_angle_beta 70.00
_cell_angle_gamma 60.00
loop_
_symmetry_equiv_pos_as_xyz
'x,y,z'
loop_
_atom_site_label
_atom_site_type_symbol
_atom_site_fract_x
_atom_site_fract_y
_atom_site_fract_z
Ge1 Ge 0.408 0.408 0.776
Ge2 Ge 0.592 0.592 0.224
Fe1 Fe 0.155 0.155 0.536
Fe2 Fe 0.845 0.845 0.464
Fe3 Fe 0.000 0.000 0.000
# - E_tot (eV/atom) = -6.778
# - calculated volume (Å³/f.u.) = 67.7
# - space-group type = R-3m, No. 166
# - M_tot (μB/cell) = 4.65

***

Record 3
# PBE-GGA La8Bi3Sb3, relaxed
data_La8Bi3Sb3
_chemical_formula_sum 'La8 Bi3 Sb3'
_symmetry_space_group_name_H-M 'P 1'
_symmetry_Int_Tables_number 1
_cell_length_a 8.476
_cell_length_b 8.476
_cell_length_c 9.779
_cell_angle_alpha 54.80
_cell_angle_beta 54.80
_cell_angle_gamma 70.51
loop_
_symmetry_equiv_pos_as_xyz
'x,y,z'
loop_
_atom_site_label
_atom_site_type_symbol
_atom_site_fract_x
_atom_site_fract_y
_atom_site_fract_z
La1 La 0.644 0.504 0.603
La2 La 0.007 0.144 0.740
La3 La 0.502 0.858 0.888
La4 La 0.142 0.498 0.112
La5 La 0.496 0.356 0.397
La6 La 0.003 0.650 0.740
La7 La 0.856 0.993 0.260
La8 La 0.350 0.997 0.260
Sb1 Sb 0.872 0.128 0.500
Sb2 Sb 0.375 0.872 0.628
Sb3 Sb 0.128 0.625 0.372
Bi1 Bi 0.247 0.250 0.879
Bi2 Bi 0.750 0.753 0.121
Bi3 Bi 0.628 0.372 0.000
# - E_tot (eV/atom) = -5.563
# - formation energy from raw total energies (eV per atom) = -1.032
# - calculated volume (Å³/f.u.) = 469.1
# - space-group type = C2, No. 5
# - M_tot (μB/cell) = 0.00

***

Record 4
# PBE-GGA NaLi2GaRe, relaxed
data_NaLi2GaRe
_chemical_formula_sum 'Na1 Li2 Ga1 Re1'
_symmetry_space_group_name_H-M 'P 1'
_symmetry_Int_Tables_number 1
_cell_length_a 4.982
_cell_length_b 5.630
_cell_length_c 4.982
_cell_angle_alpha 90.00
_cell_angle_beta 90.00
_cell_angle_gamma 90.00
loop_
_symmetry_equiv_pos_as_xyz
'x,y,z'
loop_
_atom_site_label
_atom_site_type_symbol
_atom_site_fract_x
_atom_site_fract_y
_atom_site_fract_z
Na1 Na 0.000 0.500 0.000
Re1 Re 0.000 0.000 0.000
Ga1 Ga 0.500 0.500 0.500
Li1 Li 0.500 0.000 0.000
Li2 Li 0.000 0.000 0.500
# - E_tot (eV/atom) = -2.729
# - calculated volume (Å³/f.u.) = 139.7
# - space-group type = P4/mmm, No. 123
# - M_tot (μB/cell) = 3.10

***

Record 5
# PBE-GGA Cu2PdPbO4, relaxed
data_Cu2PdPbO4
_chemical_formula_sum 'Cu2 Pd1 Pb1 O4'
_symmetry_space_group_name_H-M 'P 1'
_symmetry_Int_Tables_number 1
_cell_length_a 5.339
_cell_length_b 5.319
_cell_length_c 5.319
_cell_angle_alpha 89.62
_cell_angle_beta 59.88
_cell_angle_gamma 59.88
loop_
_symmetry_equiv_pos_as_xyz
'x,y,z'
loop_
_atom_site_label
_atom_site_type_symbol
_atom_site_fract_x
_atom_site_fract_y
_atom_site_fract_z
O1 O 0.609 0.488 0.903
O2 O 0.000 0.512 0.097
O3 O 0.391 0.097 0.512
O4 O 0.000 0.903 0.488
Pd1 Pd 0.000 0.500 0.500
Cu1 Cu 0.500 0.750 0.250
Cu2 Cu 0.500 0.250 0.750
Pb1 Pb 0.000 0.000 0.000
# - E_tot (eV/atom) = -5.035
# - formation energy from raw total energies (eV per atom) = -0.419
# - calculated volume (Å³/f.u.) = 106.8
# - space-group type = I-42m, No. 121
# - M_tot (μB/cell) = 0.87

***

Record 6
# PBE-GGA HfTiSe4, relaxed
data_HfTiSe4
_chemical_formula_sum 'Hf2 Ti2 Se8'
_symmetry_space_group_name_H-M 'P 1'
_symmetry_Int_Tables_number 1
_cell_length_a 7.581
_cell_length_b 7.337
_cell_length_c 7.449
_cell_angle_alpha 119.50
_cell_angle_beta 120.59
_cell_angle_gamma 90.00
loop_
_symmetry_equiv_pos_as_xyz
'x,y,z'
loop_
_atom_site_label
_atom_site_type_symbol
_atom_site_fract_x
_atom_site_fract_y
_atom_site_fract_z
Se1 Se 0.253 0.746 0.506
Se2 Se 0.744 0.253 0.007
Se3 Se 0.747 0.254 0.494
Se4 Se 0.253 0.260 0.506
Se5 Se 0.737 0.747 0.993
Se6 Se 0.747 0.740 0.494
Se7 Se 0.263 0.253 0.007
Se8 Se 0.256 0.747 0.993
Hf1 Hf 0.000 0.000 0.500
Hf2 Hf 0.500 0.000 0.500
Ti1 Ti 0.500 0.500 0.000
Ti2 Ti 0.500 0.000 0.000
# - E_tot (eV/atom) = -6.498
# - formation energy from raw total energies (eV per atom) = -1.200
# - calculated volume (Å³/f.u.) = 146.3
# - space-group type = Imma, No. 74
# - M_tot (μB/cell) = 0.00

***

Record 7
# PBE-GGA CuPd6Pb, relaxed
data_CuPd6Pb
_chemical_formula_sum 'Cu1 Pd6 Pb1'
_symmetry_space_group_name_H-M 'P 1'
_symmetry_Int_Tables_number 1
_cell_length_a 4.018
_cell_length_b 4.018
_cell_length_c 7.969
_cell_angle_alpha 90.00
_cell_angle_beta 90.00
_cell_angle_gamma 90.00
loop_
_symmetry_equiv_pos_as_xyz
'x,y,z'
loop_
_atom_site_label
_atom_site_type_symbol
_atom_site_fract_x
_atom_site_fract_y
_atom_site_fract_z
Pd1 Pd 0.000 0.500 0.266
Pd2 Pd 0.500 0.000 0.266
Pd3 Pd 0.500 0.000 0.734
Pd4 Pd 0.000 0.500 0.734
Pd5 Pd 0.500 0.500 0.500
Pd6 Pd 0.500 0.500 0.000
Pb1 Pb 0.000 0.000 0.000
Cu1 Cu 0.000 0.000 0.500
# - E_tot (eV/atom) = -5.000
# - calculated volume (Å³/f.u.) = 128.7
# - space-group type = P4/mmm, No. 123
# - M_tot (μB/cell) = 0.00
# - relative energy among the computed polymorphs (meV per atom) = 0

***

Record 8
# PBE-GGA CoTe2Se, relaxed
data_CoTe2Se
_chemical_formula_sum 'Co2 Te4 Se2'
_symmetry_space_group_name_H-M 'P 1'
_symmetry_Int_Tables_number 1
_cell_length_a 4.041
_cell_length_b 6.326
_cell_length_c 7.078
_cell_angle_alpha 90.00
_cell_angle_beta 90.00
_cell_angle_gamma 108.37
loop_
_symmetry_equiv_pos_as_xyz
'x,y,z'
loop_
_atom_site_label
_atom_site_type_symbol
_atom_site_fract_x
_atom_site_fract_y
_atom_site_fract_z
Te1 Te 0.653 0.304 0.000
Te2 Te 0.347 0.696 0.500
Te3 Te 0.347 0.696 0.000
Te4 Te 0.653 0.304 0.500
Co1 Co 0.184 0.368 0.250
Co2 Co 0.816 0.632 0.750
Se1 Se 0.015 0.030 0.750
Se2 Se 0.985 0.970 0.250
# - E_tot (eV/atom) = -4.206
# - formation energy from raw total energies (eV per atom) = 0.013
# - calculated volume (Å³/f.u.) = 85.9
# - space-group type = P2_1/m, No. 11
# - M_tot (μB/cell) = 0.00